1.
VASP calculation (PBE-GGA) on a relaxed structure of Rb2CaHfBr6.

```
Rb2CaHfBr6
1.0
-6.738 1.069 3.981
2.819 -4.371 5.945
0.167 2.939 7.329
Ca Hf Br Rb
1 1 6 2
Cartesian
-1.959 -1.651 4.963 Ca
0.000 0.000 0.000 Hf
-0.868 0.706 6.178 Br
-2.884 -1.068 11.078 Br
-0.953 -0.803 2.415 Br
-2.965 -2.498 7.511 Br
-4.413 -0.254 4.459 Br
0.494 -3.047 5.467 Br
-4.265 1.179 8.137 Rb
0.514 -1.541 9.119 Rb
```

Values from the calculation:
raw total energy = -38.48 eV/cell
energy relative to the elements, uncorrected = -1.455 eV per atom
space group = Fm-3m (225)


2.
VASP calculation (PBE-GGA) on a relaxed structure of SrTcRh.

```
SrTcRh
1.0
11.292 0.000 0.000
0.000 5.192 0.000
0.000 0.000 4.461
Sr Rh Tc
4 4 4
Cartesian
8.089 1.298 4.461 Sr
8.849 3.894 2.230 Sr
3.203 3.894 0.001 Sr
2.443 1.298 2.231 Sr
5.117 1.298 0.000 Rh
0.529 3.894 2.231 Rh
6.175 3.894 4.461 Rh
10.764 1.298 2.231 Rh
0.000 0.000 0.000 Tc
5.646 2.596 2.231 Tc
5.646 0.000 2.231 Tc
0.000 2.596 0.000 Tc
```

Values from the calculation:
raw total energy = -76.48 eV/cell
ΔH_f (0 K) = 0.28 eV/f.u.
ΔE to the lowest computed polymorph = 0.002 eV/atom
space group = Cmcm (63)


3.
VASP calculation (PBE-GGA) on a relaxed structure of Zr2Si4Rh3.

```
Zr2Si4Rh3
1.0
5.488 0.000 0.000
0.000 6.968 0.000
-2.744 0.000 7.181
Zr Si Rh
4 8 6
Cartesian
0.000 4.175 1.427 Zr
2.744 2.793 5.754 Zr
0.000 0.691 5.754 Zr
2.744 6.277 1.427 Zr
1.372 5.226 6.290 Si
4.116 1.742 0.891 Si
1.372 1.742 0.891 Si
-1.372 5.226 6.290 Si
0.000 6.784 2.557 Si
2.744 0.184 4.625 Si
0.000 3.300 4.625 Si
2.744 3.668 2.557 Si
0.000 0.000 0.000 Rh
2.744 3.484 0.000 Rh
1.372 5.226 3.877 Rh
4.116 1.742 3.304 Rh
1.372 1.742 3.304 Rh
-1.372 5.226 3.877 Rh
```

Values from the calculation:
raw total energy = -138.90 eV/cell
energy relative to the elements, uncorrected = -0.956 eV per atom
space group = Cmce (64)


4.
VASP calculation (PBE-GGA) on a relaxed structure of CaNp2UAs4.

```
CaNp2UAs4
1.0
-5.509 -1.894 -0.149
-0.008 -0.437 5.811
0.857 6.663 -2.420
Ca Np U As
1 2 1 4
Cartesian
-1.901 5.497 0.411 Ca
-0.954 2.530 3.111 Np
0.000 0.000 0.000 Np
-3.705 1.802 0.131 U
-4.648 4.529 0.335 As
-2.762 -0.926 -0.073 As
-3.730 1.644 3.041 As
-0.930 2.688 0.201 As
```

Values from the calculation:
raw total energy = -63.96 eV/cell
ΔH_f (0 K) = -6.19 eV/f.u.
space group = I-4m2 (119)


5.
VASP calculation (PBE-GGA) on a relaxed structure of ZnTe3.

```
ZnTe3
1.0
-2.364 5.775 -2.169
-5.949 0.498 -2.829
3.201 -2.106 5.382
Te Zn
3 1
Cartesian
-0.673 0.508 -0.405 Te
-1.660 3.403 0.357 Te
-3.483 2.628 -2.094 Te
-3.452 0.764 0.027 Zn
```

Values from the calculation:
raw total energy = -10.42 eV/cell
energy relative to the elements, uncorrected = 0.070 eV per atom
space group = Immm (71)


6.
VASP calculation (PBE-GGA) on a relaxed structure of NaTh2Tl3S6.

```
NaTh2Tl3S6
1.0
4.209 0.000 0.000
0.000 8.907 -0.094
-2.104 -2.991 9.167
Na Th Tl S
1 2 3 6
Cartesian
2.104 0.000 0.000 Na
2.104 4.042 6.135 Th
0.000 1.874 2.938 Th
2.104 4.454 -0.047 Tl
2.104 -0.574 6.349 Tl
0.000 6.490 2.724 Tl
0.000 5.882 6.007 S
2.104 3.781 3.231 S
2.104 0.034 3.067 S
0.000 2.043 0.311 S
2.104 3.873 8.763 S
0.000 2.135 5.843 S
```

Values from the calculation:
raw total energy = -63.36 eV/cell
energy relative to the elements, uncorrected = -1.278 eV per atom
space group = C2/m (12)